## Na3Tb2FeO6 (PBE with a Hubbard U)

Data for crystalline Na3Tb2FeO6 at its relaxed geometry.

Values from the calculation:
final energy	-76.73	eV/cell
Fermi-level density of states	0.0	states/eV per cell
space-group type	C2/m, No. 12

Unit cell a=5.7609 b=5.7609 c=5.8664 alpha=99.19 beta=99.19 gamma=120.12
Last column: magnetic moment on the atom in μB.
Element x y z (fractional)
O  0.3792  0.0684  0.2093  0.08
O  0.9316  0.6208  0.7907  0.08
O  0.0684  0.3792  0.2093  0.08
O  0.6208  0.9316  0.7907  0.08
O  0.2436  0.2436  0.7948  0.08
O  0.7564  0.7564  0.2052  0.08
Na  0.8447  0.1553  0.5000  0.00
Na  0.5000  0.5000  0.5000  0.00
Na  0.1553  0.8447  0.5000  0.00
Tb  0.3328  0.6672  0.0000  0.01
Tb  0.6672  0.3328  0.0000  0.01
Fe  0.0000  0.0000  0.0000  4.29